## SrPAu2Se4 (GGA-PBE)

Data for an optimized crystal structure of SrPAu2Se4.

Total moment ... 0.0 μB per formula unit
E_form (uncorrected) ... -462 meV/atom
Uncorrected energy ... -62.56 eV/cell
V ... 216.0 Å³/f.u.

a = 6.5250 Å, b = 7.9203 Å, c = 8.3582 Å
α = 90.00°, β = 90.00°, γ = 90.00°
With the nearest neighbours (Å) after each atom.
Space group I222 (No. 23)
Inequivalent atoms, fractional coordinates:
Sr: 0.0000 0.0000 0.0000 x2  4 Se 3.19
P: 0.0000 0.5000 0.0000 x2  4 Se 2.40
Au: 0.0000 0.1907 0.5000 x4  2 Se 2.48
Se: 0.1930 0.3205 0.8251 x8  1 P 2.40, 1 Au 2.48